Here is a relaxed FeSeCl2 crystal from Alexandria via LeMat-Bulk. Energies are from PBE.

Summary:
Theoretical density: 4.7 g/cm³
SG: No. 225
Spin magnetization: 2.84 μB per cell
Energy above the lowest structure with this stoichiometry: 1001 meV/atom
D(E_F): 6.239 states/eV/cell

abc: 4.6756 4.6756 4.6756
angles: 60.00 60.00 60.00
Last column: nearest neighbours and their distance in Å.
Atoms (fractional coordinates):
Fe 0.0000 0.0000 0.0000  8 Cl 2.86
Se 0.5000 0.5000 0.5000  8 Cl 2.86
Cl 0.2500 0.2500 0.2500  4 Se 2.86, 4 Fe 2.86
Cl 0.7500 0.7500 0.7500  4 Fe 2.86, 4 Se 2.86